1.
Entry from Alexandria via LeMat-Bulk: CoTe4Rh at its PBEsol-relaxed geometry (meta-GGA SCAN).

Properties
- Formation energy from raw total energies: 1.287 eV/atom

Cell and atoms, written as CIF:
```
data_CoTe4Rh
_cell_length_a 8.457
_cell_length_b 8.457
_cell_length_c 8.457
_cell_angle_alpha 90.00
_cell_angle_beta 90.00
_cell_angle_gamma 90.00
_space_group_name_H-M_alt 'F -4 3 m'
_space_group_IT_number 216
_space_group_name_Hall 'F -4 2 3'
loop_
_atom_site_label
_atom_site_fract_x
_atom_site_fract_y
_atom_site_fract_z
Co1 0.000 0.000 0.000
Te1 0.125 0.125 0.625
Rh1 0.250 0.250 0.250
```


2.
Entry from Alexandria via LeMat-Bulk: Mo2CSe at its PBEsol-relaxed geometry (meta-GGA SCAN).

Properties
- Formation energy from raw total energies: 0.445 eV/atom

Cell and atoms, written as CIF:
```
data_Mo2CSe
_cell_length_a 5.256
_cell_length_b 5.256
_cell_length_c 9.592
_cell_angle_alpha 90.00
_cell_angle_beta 90.00
_cell_angle_gamma 90.00
_space_group_name_H-M_alt 'I -4 2 d'
_space_group_IT_number 122
_space_group_name_Hall 'I -4 2bw'
loop_
_atom_site_label
_atom_site_fract_x
_atom_site_fract_y
_atom_site_fract_z
Mo1 0.172 0.250 0.125
C1 0.000 0.000 0.000
Se1 0.000 0.000 0.500
```


3.
Entry from Alexandria via LeMat-Bulk: TeMo2Br at its PBEsol-relaxed geometry (meta-GGA SCAN).

Properties
- Formation energy from raw total energies: 1.012 eV/atom
- Offset from the most stable computed form: 0 meV per atom

Cell and atoms, written as CIF:
```
data_TeMo2Br
_cell_length_a 3.176
_cell_length_b 5.486
_cell_length_c 8.590
_cell_angle_alpha 90.00
_cell_angle_beta 90.00
_cell_angle_gamma 90.00
_space_group_name_H-M_alt 'C m m m'
_space_group_IT_number 65
_space_group_name_Hall '-C 2 2'
loop_
_atom_site_label
_atom_site_fract_x
_atom_site_fract_y
_atom_site_fract_z
Te1 0.000 0.000 0.000
Mo1 0.000 0.500 0.247
Br1 0.000 0.000 0.500
```